(1)
Density functional theory data (GGA-PBEsol) for a relaxed ScCr2Br crystal. Values from VASP.

Results
ρ ... 5.6 g/cm³
E_form (uncorrected) ... 401 meV/atom
Relative energy among the computed polymorphs ... 369 meV per atom
VASP energy ... -27.36 eV/cell

The structure in Quantum ESPRESSO input format:
```
&SYSTEM
  ibrav = 0, nat = 4, ntyp = 3
/
ATOMIC_SPECIES
Sc 44.96 Sc.upf
Cr 52.00 Cr.upf
Br 79.90 Br.upf
ATOMIC_POSITIONS angstrom
Sc 0.000 0.000 0.000
Cr 0.000 0.000 4.393
Cr 0.000 2.437 1.753
Br 1.605 0.000 2.388
CELL_PARAMETERS angstrom
-1.605 2.437 4.325
1.605 -2.437 4.325
1.605 2.437 -4.325
```

---

(2)
Density functional theory data (GGA-PBEsol) for a relaxed Sb2MoO6 crystal. Values from VASP.

Results
ρ ... 5.8 g/cm³
E_form (uncorrected) ... -1643 meV/atom
VASP energy ... -268.67 eV/cell

The structure in Quantum ESPRESSO input format:
```
&SYSTEM
  ibrav = 0, nat = 36, ntyp = 3
/
ATOMIC_SPECIES
Sb 121.76 Sb.upf
Mo 95.94 Mo.upf
O 16.00 O.upf
ATOMIC_POSITIONS angstrom
Sb 1.169 1.416 1.556
Sb 1.970 4.729 1.540
Sb 6.579 9.535 7.543
Sb 6.387 5.484 7.519
Sb 5.405 5.156 1.490
Sb 5.213 1.105 1.466
Sb 9.821 5.910 7.469
Sb 10.622 9.224 7.453
Mo 3.701 3.689 4.633
Mo 4.427 7.395 4.495
Mo 7.364 3.245 4.514
Mo 8.090 6.951 4.376
O 2.344 6.946 3.961
O 3.597 7.603 6.200
O 4.874 8.884 8.444
O 2.031 2.984 0.544
O 4.225 2.782 6.194
O 3.398 1.599 3.969
O 4.237 5.309 5.085
O 3.483 4.028 2.799
O 5.614 3.847 8.483
O 3.658 5.368 0.519
O 4.755 6.693 2.813
O 6.104 7.419 5.052
O 5.687 3.221 3.958
O 7.036 3.946 6.196
O 8.133 5.272 8.490
O 6.177 6.793 0.526
O 8.308 6.612 6.210
O 7.554 5.331 3.924
O 8.393 9.041 5.040
O 7.566 7.858 2.816
O 9.761 7.656 8.465
O 6.917 1.756 0.566
O 8.194 3.036 2.809
O 9.448 3.693 5.048
CELL_PARAMETERS angstrom
7.462 0.000 0.000
0.840 7.462 0.000
3.490 3.178 9.009
```

---

(3)
Density functional theory data (GGA-PBEsol) for a relaxed ReAgRh2 crystal. Values from VASP.

Results
ρ ... 14.5 g/cm³
ΔE_f ... 334 meV/atom
Relative energy among the computed polymorphs ... 86 meV per atom
VASP energy ... -31.59 eV/cell

The structure in Quantum ESPRESSO input format:
```
&SYSTEM
  ibrav = 0, nat = 4, ntyp = 3
/
ATOMIC_SPECIES
Re 186.21 Re.upf
Ag 107.87 Ag.upf
Rh 102.91 Rh.upf
ATOMIC_POSITIONS angstrom
Re 0.000 0.000 0.000
Ag -0.908 1.346 2.239
Rh 1.467 0.000 2.239
Rh 2.375 1.346 0.000
CELL_PARAMETERS angstrom
4.751 0.000 0.000
0.000 2.692 0.000
-1.816 0.000 4.478
```

---

(4)
Density functional theory data (GGA-PBEsol) for a relaxed Cd2Pb3 crystal. Values from VASP.

Results
ρ ... 10.5 g/cm³
ΔE_f ... 67 meV/atom
Relative energy among the computed polymorphs ... 0 meV per atom
VASP energy ... -28.11 eV/cell

The structure in Quantum ESPRESSO input format:
```
&SYSTEM
  ibrav = 0, nat = 10, ntyp = 2
/
ATOMIC_SPECIES
Cd 112.41 Cd.upf
Pb 207.20 Pb.upf
ATOMIC_POSITIONS angstrom
Cd 2.778 0.786 1.482
Cd 5.553 3.272 2.964
Cd 2.774 7.330 1.482
Cd 5.550 12.960 2.964
Pb 5.552 8.116 0.003
Pb 2.776 4.058 1.485
Pb 5.548 6.425 2.967
Pb 5.555 9.808 2.967
Pb 8.331 10.483 4.449
Pb 8.324 13.866 4.449
CELL_PARAMETERS angstrom
0.000 8.116 2.964
5.552 0.000 2.964
5.552 8.116 0.000
```

---

(5)
Density functional theory data (GGA-PBEsol) for a relaxed ZrBiSb2 crystal. Values from VASP.

Results
ρ ... 6.0 g/cm³
E_form (uncorrected) ... 259 meV/atom
VASP energy ... -42.91 eV/cell

The structure in Quantum ESPRESSO input format:
```
&SYSTEM
  ibrav = 0, nat = 8, ntyp = 3
/
ATOMIC_SPECIES
Zr 91.22 Zr.upf
Bi 208.98 Bi.upf
Sb 121.76 Sb.upf
ATOMIC_POSITIONS angstrom
Zr 0.000 0.000 0.000
Zr 0.000 3.368 3.331
Bi 3.368 0.000 3.331
Bi 0.000 0.000 6.662
Sb 5.052 1.490 -1.665
Sb 1.490 1.684 1.665
Sb -1.684 1.878 4.996
Sb 1.878 1.684 8.327
CELL_PARAMETERS angstrom
-3.368 3.368 6.662
3.368 -3.368 6.662
3.368 3.368 -6.662
```

---

(6)
Density functional theory data (GGA-PBEsol) for a relaxed LiLaAu crystal. Values from VASP.

Results
ρ ... 8.5 g/cm³
ΔE_f ... -430 meV/atom
Relative energy among the computed polymorphs ... 63 meV per atom
VASP energy ... -12.53 eV/cell

The structure in Quantum ESPRESSO input format:
```
&SYSTEM
  ibrav = 0, nat = 3, ntyp = 3
/
ATOMIC_SPECIES
Li 6.94 Li.upf
La 138.91 La.upf
Au 196.97 Au.upf
ATOMIC_POSITIONS angstrom
Li 0.000 0.000 0.000
La 0.000 0.000 2.884
Au 0.000 0.000 6.087
CELL_PARAMETERS angstrom
-1.852 1.852 4.905
1.852 -1.852 4.905
1.852 1.852 -4.905
```

---

(7)
Density functional theory data (GGA-PBEsol) for a relaxed Pr3Sm crystal. Values from VASP.

Results
ρ ... 7.2 g/cm³
ΔE_f ... 7 meV/atom
VASP energy ... -20.62 eV/cell

The structure in Quantum ESPRESSO input format:
```
&SYSTEM
  ibrav = 0, nat = 4, ntyp = 2
/
ATOMIC_SPECIES
Pr 140.91 Pr.upf
Sm 150.36 Sm.upf
ATOMIC_POSITIONS angstrom
Pr 0.000 0.000 0.000
Pr 2.553 0.000 2.551
Pr 0.000 2.553 2.551
Sm 0.000 0.000 5.103
CELL_PARAMETERS angstrom
-2.553 2.553 5.103
2.553 -2.553 5.103
2.553 2.553 -5.103
```

---

(8)
Density functional theory data (GGA-PBEsol) for a relaxed LiTi2ZnBi crystal. Values from VASP.

Results
ρ ... 6.9 g/cm³
ΔE_f ... 650 meV/atom
VASP energy ... -21.23 eV/cell

The structure in Quantum ESPRESSO input format:
```
&SYSTEM
  ibrav = 0, nat = 5, ntyp = 4
/
ATOMIC_SPECIES
Li 6.94 Li.upf
Ti 47.87 Ti.upf
Zn 65.41 Zn.upf
Bi 208.98 Bi.upf
ATOMIC_POSITIONS angstrom
Li 0.000 0.000 0.000
Ti 0.000 2.230 0.000
Ti 2.230 0.000 0.000
Zn 2.230 2.230 2.274
Bi 0.000 0.000 2.274
CELL_PARAMETERS angstrom
4.460 0.000 0.000
0.000 4.460 0.000
0.000 0.000 4.548
```